No. 1
VASP calculation (PBE) on a relaxed structure of CsYWN3.

For the formation energy from raw total energies, the calculation gives -570 meV/atom. As for the total energy: -8.111 eV/atom. Its density of states at the Fermi level is 19.21 states/eV/cell. The calculation puts the total magnetization at 0.11 μB/f.u.

The space group is C2/m (No. 12) and the conventional cell measures 13.589, 3.964 and 8.579 Å, with angles of 90.00, 103.74 and 90.00 degrees. Symmetry generates all atoms from Cs at (0.143, 0.000, 0.067), Y at (0.162, 0.000, 0.575), W at (0.008, 0.500, 0.344), N at (0.014, 0.000, 0.336), N at (0.134, 0.500, 0.747) and N at (0.162, 0.500, 0.383).

=====

No. 2
VASP calculation (PBE) on a relaxed structure of CsYN2.

For the formation energy from raw total energies, the calculation gives 976 meV/atom. As for the total energy: -5.016 eV/atom. The value obtained for the distance to the lowest polymorph of the same formula is 866 meV per atom. Its density of states at the Fermi level is 6.90 states/eV/cell. The calculation puts the total magnetization at 0.00 μB/f.u.

The space group is R-3m (No. 166, hexagonal axes) and the conventional cell measures 4.5776, 4.5776 and 22.8083 Å, with angles of 90.00, 90.00 and 120.00 degrees. Symmetry generates all atoms from Cs at (0.0000, 0.0000, 0.0000), Y at (0.0000, 0.0000, 0.5000) and N at (0.0000, 0.0000, 0.4157).

=====

No. 3
VASP calculation (PBE) on a relaxed structure of CsYN2.

For the formation energy from raw total energies, the calculation gives 110 meV/atom. As for the total energy: -5.882 eV/atom. The value obtained for the distance to the lowest polymorph of the same formula is 0 meV per atom. Its density of states at the Fermi level is 2.21 states/eV/cell. The calculation puts the total magnetization at 0.00 μB/f.u.

The space group is R-3m (No. 166, hexagonal axes) and the conventional cell measures 3.7351, 3.7351 and 20.8891 Å, with angles of 90.00, 90.00 and 120.00 degrees. Symmetry generates all atoms from Cs at (0.0000, 0.0000, 0.0000), Y at (0.0000, 0.0000, 0.5000) and N at (0.0000, 0.0000, 0.1127).

=====

No. 4
VASP calculation (PBE) on a relaxed structure of Cs2YN.

For the formation energy from raw total energies, the calculation gives 1632 meV/atom. As for the total energy: -2.492 eV/atom. Its density of states at the Fermi level is 14.00 states/eV/cell. The calculation puts the total magnetization at 1.88 μB/f.u.

The space group is Fm-3m (No. 225) and the conventional cell measures 8.108, 8.108 and 8.108 Å, with angles of 90.00, 90.00 and 90.00 degrees. Symmetry generates all atoms from Cs at (0.250, 0.250, 0.250), Y at (0.000, 0.000, 0.000) and N at (0.000, 0.000, 0.500).

=====

No. 5
VASP calculation (PBE) on a relaxed structure of CsYN3.

For the formation energy from raw total energies, the calculation gives 1857 meV/atom. As for the total energy: -4.602 eV/atom. Its density of states at the Fermi level is 4.00 states/eV/cell. The calculation puts the total magnetization at 0.00 μB/f.u.

The space group is Pm-3m (No. 221) and the conventional cell measures 4.274, 4.274 and 4.274 Å, with angles of 90.00, 90.00 and 90.00 degrees. Symmetry generates all atoms from Cs at (0.000, 0.000, 0.000), Y at (0.500, 0.500, 0.500) and N at (0.000, 0.000, 0.500).

=====

No. 6
VASP calculation (PBE) on a relaxed structure of CsZnN.

For the formation energy from raw total energies, the calculation gives 153 meV/atom. As for the total energy: -3.331 eV/atom. Its density of states at the Fermi level is 1.35 states/eV/cell. The calculation puts the total magnetization at 0.00 μB/f.u.

The space group is P4/nmm (No. 129, origin choice 2) and the conventional cell measures 3.749, 3.749 and 11.573 Å, with angles of 90.00, 90.00 and 90.00 degrees. Symmetry generates all atoms from Cs at (0.250, 0.250, 0.247), Zn at (0.250, 0.750, 0.000) and N at (0.250, 0.250, 0.907).

=====

No. 7
VASP calculation (PBE) on a relaxed structure of CsZnN.

For the formation energy from raw total energies, the calculation gives 154 meV/atom. As for the total energy: -3.331 eV/atom. Its density of states at the Fermi level is 0.00 states/eV/cell. The calculation puts the total magnetization at 0.00 μB/f.u.

The space group is P-1 (No. 2) and the conventional cell measures 3.616, 6.482 and 6.725 Å, with angles of 70.27, 83.12 and 86.02 degrees. Symmetry generates all atoms from Cs at (0.169, 0.193, 0.158), Zn at (0.242, 0.379, 0.625) and N at (0.277, 0.661, 0.273).

=====

No. 8
VASP calculation (PBE) on a relaxed structure of CsZn2N.

For the formation energy from raw total energies, the calculation gives 344 meV/atom. As for the total energy: -2.588 eV/atom. Its density of states at the Fermi level is 13.96 states/eV/cell. The calculation puts the total magnetization at 0.00 μB/f.u.

The space group is I4_1/amd (No. 141, origin choice 2) and the conventional cell measures 6.585, 6.585 and 9.363 Å, with angles of 90.00, 90.00 and 90.00 degrees. Symmetry generates all atoms from Cs at (0.000, 0.250, 0.375), Zn at (0.000, 0.000, 0.000) and N at (0.000, 0.250, 0.875).